# TlGe2Rh

TlGe2Rh after structural relaxation (GGA-PBE, the Alexandria database).

Lattice parameters (Å, degrees): 3.241 3.241 9.399 80.07 80.07 60.00
Atoms (fractional coordinates):
Tl  0.000  0.000  0.000
Rh  0.500  0.500  0.500
Ge  0.104  0.104  0.687
Ge  0.896  0.896  0.313

Computed properties:
- formation energy (eV per formula unit) = -0.12
- excess energy over the best structure of this formula in the dataset (kJ per mole of atoms) = 0.0
- space-group type = R-3m (166)

---

# Ce2SmGa6

Ce2SmGa6 after structural relaxation (GGA-PBE, the Alexandria database).

Lattice parameters (Å, degrees): 4.475 7.734 7.734 55.14 73.18 73.18
Last column: magnetic moment on the atom in μB.
Atoms (fractional coordinates):
Ce  0.393  0.107  0.107  0.32
Ce  0.607  0.893  0.893  0.32
Sm  0.500  0.500  0.500  0.01
Ga  0.190  0.504  0.115  0.00
Ga  0.810  0.496  0.885  0.00
Ga  0.810  0.885  0.496  0.00
Ga  0.000  0.204  0.796  0.00
Ga  0.000  0.796  0.204  0.00
Ga  0.190  0.115  0.504  0.00

Computed properties:
- formation energy (eV per formula unit) = -3.62
- excess energy over the best structure of this formula in the dataset (kJ per mole of atoms) = 20.8
- space-group type = Immm (71)

---

# HfGaIO2

HfGaIO2 after structural relaxation (GGA-PBE, the Alexandria database).

Lattice parameters (Å, degrees): 4.154 4.154 5.985 90.00 90.00 90.00
Atoms (fractional coordinates):
I  0.000  0.000  0.500
Hf  0.000  0.000  0.000
O  0.000  0.500  0.000
O  0.500  0.000  0.000
Ga  0.500  0.500  0.500

Computed properties:
- formation energy from raw total energies (kcal/mol of atoms) = -36.7
- excess energy over the best structure of this formula in the dataset (kJ per mole of atoms) = 0.0
- space-group type = P4/mmm (123)

---

# LaNdTeSe2

LaNdTeSe2 after structural relaxation (GGA-PBE, the Alexandria database).

Lattice parameters (Å, degrees): 4.735 4.735 8.057 107.09 107.09 90.00
Atoms (fractional coordinates):
La  0.136  0.136  0.271
Nd  0.861  0.861  0.722
Te  0.501  0.501  0.002
Se  0.751  0.251  0.503
Se  0.251  0.751  0.503

Computed properties:
- formation energy from raw total energies (kcal/mol of atoms) = -34.6
- space-group type = I4mm (107)

---

# CdTe4Se

CdTe4Se after structural relaxation (GGA-PBE, the Alexandria database).

Lattice parameters (Å, degrees): 6.313 6.313 6.313 60.00 60.00 60.00
Last column: magnetic moment on the atom in μB.
Atoms (fractional coordinates):
Cd  0.750  0.750  0.750  0.00
Te  0.878  0.374  0.374  0.05
Te  0.374  0.374  0.878  0.05
Te  0.374  0.878  0.374  0.05
Te  0.374  0.374  0.374  0.05
Se  0.000  0.000  0.000  0.35

Computed properties:
- formation energy from raw total energies (kcal/mol of atoms) = 11.1
- space-group type = F-43m (216)

---

# LaNdZnIr

LaNdZnIr after structural relaxation (GGA-PBE, the Alexandria database).

Lattice parameters (Å, degrees): 4.085 4.404 5.956 90.00 110.06 90.00
Atoms (fractional coordinates):
La  0.863  0.500  0.725
Nd  0.137  0.000  0.274
Zn  0.570  0.500  0.140
Ir  0.431  0.000  0.861

Computed properties:
- formation energy (eV per formula unit) = -2.11
- excess energy over the best structure of this formula in the dataset (kJ per mole of atoms) = 0.0
- space-group type = Amm2 (38)

---

# Ca3SnAu8

Ca3SnAu8 after structural relaxation (GGA-PBE, the Alexandria database).

Lattice parameters (Å, degrees): 5.635 5.635 9.986 73.61 73.61 60.00
Atoms (fractional coordinates):
Ca  0.378  0.378  0.866
Ca  0.992  0.992  0.025
Ca  0.506  0.506  0.481
Sn  0.870  0.870  0.390
Au  0.943  0.438  0.181
Au  0.434  0.938  0.691
Au  0.438  0.438  0.181
Au  0.938  0.938  0.691
Au  0.188  0.188  0.436
Au  0.688  0.688  0.936
Au  0.438  0.943  0.181
Au  0.938  0.434  0.691

Computed properties:
- formation energy (eV per formula unit) = -6.26
- space-group type = R3m (160)

---

# NaCa2Cu2

NaCa2Cu2 after structural relaxation (GGA-PBE, the Alexandria database).

Lattice parameters (Å, degrees): 8.477 8.477 3.520 90.00 90.00 90.00
Atoms (fractional coordinates):
Na  0.000  0.000  0.000
Na  0.500  0.500  0.000
Ca  0.340  0.840  0.000
Ca  0.840  0.660  0.000
Ca  0.660  0.160  0.000
Ca  0.160  0.340  0.000
Cu  0.119  0.619  0.500
Cu  0.619  0.881  0.500
Cu  0.881  0.381  0.500
Cu  0.381  0.119  0.500

Computed properties:
- formation energy (eV per formula unit) = 0.47
- excess energy over the best structure of this formula in the dataset (kJ per mole of atoms) = 13.4
- space-group type = P4/mbm (127)

---

Number 1: ρ 8.97 g/cm³. Number 2: ρ 6.79 g/cm³. Number 3: ρ 6.55 g/cm³. Number 4: ρ 5.75 g/cm³. Number 5: ρ 6.55 g/cm³. Number 6: ρ 8.92 g/cm³. Number 7: ρ 11.61 g/cm³. Number 8: ρ 3.02 g/cm³.